1.
Below is a relaxed structure of KZr2Sc, with properties calculated at the GGA-PBE level.

a b c (Å): 4.3197 4.3197 23.1931
angles (deg): 90.00 90.00 90.00
Space group I-42d (No. 122)
Symmetry-distinct sites (fractional):
K1 0.0000 0.0000 0.0000 x4
Zr1 0.2364 0.2500 0.6250 x8
Sc1 0.0000 0.0000 0.5000 x4

Output
- Energy of formation from the pure elements: 1.0518 eV/atom
- Final energy: -5.080 eV/atom

---

2.
Below is a relaxed structure of K4PdF5, with properties calculated at the GGA-PBE level.

a b c (Å): 8.2588 8.2588 5.4925
angles (deg): 90.00 90.00 90.00
Space group I4/m (No. 87)
Symmetry-distinct sites (fractional):
K1 0.0984 0.7070 0.0000 x8
Pd1 0.0000 0.0000 0.5000 x2
F1 0.0000 0.0000 0.0000 x2
F2 0.0884 0.7208 0.5000 x8

Output
- Formation energy from raw total energies: -2.226 eV per atom
- Final energy: -4.120 eV/atom

---

3.
Below is a relaxed structure of TiSiIN2, with properties calculated at the GGA-PBE level.

a b c (Å): 3.6611 3.6611 5.9122
angles (deg): 90.00 90.00 90.00
Space group P4/mmm (No. 123)
Symmetry-distinct sites (fractional):
Ti1 0.0000 0.0000 0.0000 x1
Si1 0.5000 0.5000 0.5000 x1
I1 0.5000 0.5000 0.0000 x1
N1 0.0000 0.5000 0.5000 x2

Output
- Formation energy from raw total energies: 0.862 eV per atom
- Final energy: -5.442 eV/atom

---

4.
Below is a relaxed structure of Th3CdTc2, with properties calculated at the GGA-PBE level.

a b c (Å): 3.4892 3.4892 12.2872
angles (deg): 90.00 90.00 90.00
Space group P4/mmm (No. 123)
Symmetry-distinct sites (fractional):
Th1 0.0000 0.0000 0.0000 x1
Th2 0.0000 0.0000 0.2942 x2
Cd1 0.5000 0.5000 0.5000 x1
Tc1 0.5000 0.5000 0.1542 x2

Output
- Energy of formation from the pure elements: -0.0980 eV/atom
- Final energy: -7.416 eV/atom

---

5.
Below is a relaxed structure of BaSr7, with properties calculated at the GGA-PBE level.

a b c (Å): 8.5419 8.5419 7.0550
angles (deg): 90.00 90.00 120.00
Space group P-6m2 (No. 187)
Symmetry-distinct sites (fractional):
Ba1 0.0000 0.0000 0.0000 x1
Sr1 0.0000 0.5000 0.0000 x3
Sr2 0.3333 0.6667 0.5000 x1
Sr3 0.3348 0.1674 0.5000 x3

Output
- Energy of formation from the pure elements: 0.0048 eV/atom
- Final energy: -1.707 eV/atom

---

6.
Below is a relaxed structure of TlTcRuO6, with properties calculated at the GGA-PBE level.

a b c (Å): 5.3245 5.3245 5.8158
angles (deg): 90.00 90.00 120.00
Space group P312 (No. 149)
Symmetry-distinct sites (fractional):
Tl1 0.0000 0.0000 0.0000 x1
Tc1 0.3333 0.6667 0.5000 x1
Ru1 0.6667 0.3333 0.5000 x1
O1 0.0054 0.3947 0.6806 x6

Output
- Formation energy from raw total energies: -1.044 eV per atom
- Final energy: -6.794 eV/atom